# 1
Below is a geometry-optimized Ti3ZnRh structure, with properties calculated at the PBE level.

Fermi-level density of states (states/eV/f.u.): 9.297
Distance to the lowest polymorph of the same formula (meV/atom): 543
ρ (g/cm³): 4.97
Total DFT energy (no corrections) (eV for the cell shown): -30.31

Unit cell a=4.707 b=4.707 c=4.707 alpha=90.00 beta=90.00 gamma=90.00
Fractional positions:
1 Zn 0.500 0.500 0.500
2 Rh 0.000 0.000 0.000
3 Ti 0.000 0.500 0.000
4 Ti 0.000 0.000 0.500
5 Ti 0.500 0.000 0.000

# 2
Below is a geometry-optimized KAg2AsI6 structure, with properties calculated at the PBE level.

Formation energy without anion corrections (meV/atom): -428
ρ (g/cm³): 4.06
Total DFT energy (no corrections) (eV for the cell shown): -50.06

Unit cell a=9.079 b=10.635 c=10.635 alpha=76.47 beta=69.30 gamma=69.30
Fractional positions:
1 K 0.250 0.830 0.170
2 K 0.750 0.170 0.830
3 Ag 0.363 0.631 0.503
4 Ag 0.137 0.497 0.369
5 Ag 0.637 0.369 0.497
6 Ag 0.863 0.503 0.631
7 As 0.250 0.207 0.793
8 As 0.750 0.793 0.207
9 I 0.190 0.977 0.815
10 I 0.310 0.185 0.023
11 I 0.810 0.023 0.185
12 I 0.690 0.815 0.977
13 I 0.420 0.893 0.384
14 I 0.080 0.616 0.107
15 I 0.580 0.107 0.616
16 I 0.920 0.384 0.893
17 I 0.010 0.719 0.536
18 I 0.490 0.464 0.281
19 I 0.990 0.281 0.464
20 I 0.510 0.536 0.719

# 3
Below is a geometry-optimized NdY5As6 structure, with properties calculated at the PBE level.

Fermi-level density of states (states/eV/f.u.): 1.200
ρ (g/cm³): 5.69
Total DFT energy (no corrections) (eV for the cell shown): -83.53

Unit cell a=7.187 b=7.190 c=7.188 alpha=60.00 beta=80.40 gamma=70.52
Fractional positions:
1 Y 0.500 0.165 0.669
2 Y 0.000 0.333 0.334
3 Y 0.500 0.500 0.000
4 Y 0.000 0.667 0.666
5 Y 0.500 0.835 0.331
6 As 0.747 0.084 0.338
7 As 0.253 0.578 0.338
8 As 0.252 0.254 0.000
9 As 0.748 0.746 0.000
10 As 0.747 0.422 0.662
11 As 0.253 0.916 0.662
12 Nd 0.000 0.000 0.000

# 4
Below is a geometry-optimized LiMg6BO8 structure, with properties calculated at the PBE level.

Fermi-level density of states (states/eV/f.u.): 0.000
Distance to the lowest polymorph of the same formula (meV/atom): 0
Formation energy without anion corrections (meV/atom): -2376
ρ (g/cm³): 3.27
Total DFT energy (no corrections) (eV for the cell shown): -95.84

Unit cell a=4.277 b=4.277 c=8.104 alpha=90.00 beta=90.00 gamma=90.00
Fractional positions:
1 Li 0.000 0.000 0.000
2 Mg 0.500 0.500 0.000
3 Mg 0.500 0.500 0.500
4 Mg 0.000 0.500 0.254
5 Mg 0.000 0.500 0.746
6 Mg 0.500 0.000 0.254
7 Mg 0.500 0.000 0.746
8 B 0.000 0.000 0.500
9 O 0.000 0.000 0.322
10 O 0.000 0.000 0.678
11 O 0.500 0.500 0.250
12 O 0.500 0.500 0.750
13 O 0.000 0.500 0.000
14 O 0.000 0.500 0.500
15 O 0.500 0.000 0.000
16 O 0.500 0.000 0.500

# 5
Below is a geometry-optimized In2MoP structure, with properties calculated at the PBE level.

Fermi-level density of states (states/eV/f.u.): 1.547
ρ (g/cm³): 7.56
Total DFT energy (no corrections) (eV for the cell shown): -21.58

Unit cell a=5.670 b=5.670 c=3.617 alpha=90.00 beta=90.00 gamma=137.64
Fractional positions:
1 In 0.024 0.976 0.000
2 In 0.714 0.286 0.500
3 Mo 0.302 0.698 0.000
4 P 0.453 0.547 0.500

# 6
Below is a geometry-optimized CaCdBiAu structure, with properties calculated at the PBE level.

Fermi-level density of states (states/eV/f.u.): 0.866
ρ (g/cm³): 9.19
Total DFT energy (no corrections) (eV for the cell shown): -11.74

Unit cell a=5.226 b=5.226 c=5.226 alpha=60.00 beta=60.00 gamma=60.00
Fractional positions:
1 Ca 0.250 0.250 0.250
2 Au 0.000 0.000 0.000
3 Bi 0.500 0.500 0.500
4 Cd 0.750 0.750 0.750

# 7
Below is a geometry-optimized Ac6C2Br3N structure, with properties calculated at the PBE level.

Fermi-level density of states (states/eV/f.u.): 6.227
Formation energy without anion corrections (meV/atom): -915
ρ (g/cm³): 8.24
Total DFT energy (no corrections) (eV for the cell shown): -67.42

Unit cell a=6.898 b=6.898 c=8.342 alpha=97.92 beta=97.92 gamma=120.00
Fractional positions:
1 Ac 0.938 0.608 0.815
2 Ac 0.732 0.732 0.186
3 Ac 0.062 0.392 0.185
4 Ac 0.608 0.938 0.815
5 Ac 0.268 0.268 0.814
6 Ac 0.392 0.062 0.185
7 C 0.334 0.666 0.000
8 C 0.666 0.334 0.000
9 Br 0.170 0.830 0.500
10 Br 0.830 0.170 0.500
11 Br 0.500 0.500 0.500
12 N 0.000 0.000 0.000

# 8
Below is a geometry-optimized Sb3PtBr structure, with properties calculated at the PBE level.

Fermi-level density of states (states/eV/f.u.): 3.572
Distance to the lowest polymorph of the same formula (meV/atom): 967
Formation energy without anion corrections (meV/atom): 1324
ρ (g/cm³): 6.89
Total DFT energy (no corrections) (eV for the cell shown): -13.46

Unit cell a=5.363 b=5.363 c=5.363 alpha=90.00 beta=90.00 gamma=90.00
Fractional positions:
1 Sb 0.000 0.500 0.000
2 Sb 0.500 0.000 0.000
3 Sb 0.000 0.000 0.500
4 Br 0.000 0.000 0.000
5 Pt 0.500 0.500 0.500

- Look up the total DFT energy (no corrections) of the fifth one.
  -21.58 eV for the cell shown

- Which value of total DFT energy (no corrections) does entry 5 give?
  -21.58 eV for the cell shown

- Which of these has the highest total DFT energy (no corrections)?
  CaCdBiAu

- The highest ρ belongs to which entry?
  CaCdBiAu